1.
Entry from the Alexandria database: a relaxed structure of LaNd2Dy5Th (PBE).

abc: 5.6674 10.4088 10.6286
angles: 90.00 90.00 105.80
With the nearest neighbours (Å) after each atom.
Sites, in units of the cell vectors:
Dy (0.7224, 0.4448, 0.8161)  1 La 3.11, 1 Nd 3.28, 2 Dy 3.40
Dy (0.7034, 0.4068, 0.2090)  4 Dy 3.40-3.80, 3 Th 3.52-3.73, 3 Nd 3.55-3.64, 1 La 3.64
Dy (0.4800, 0.9599, 0.7365)  2 La 3.09-3.30
Dy (0.2776, 0.5552, 0.3161)  1 La 3.11, 1 Nd 3.28, 2 Dy 3.40
Dy (0.3868, 0.7736, 0.0234)  6 Dy 3.50-3.84, 4 Nd 3.57-3.58, 1 Th 3.68
Dy (0.6132, 0.2264, 0.5234)  6 Dy 3.50-3.84, 4 Nd 3.57-3.58, 1 Th 3.68
Dy (0.9836, 0.9671, 0.5265)  2 La 3.25, 2 Nd 3.41-3.42, 2 Dy 3.61
Dy (0.0164, 0.0329, 0.0265)  2 La 3.25, 2 Nd 3.41-3.42, 2 Dy 3.61
Dy (0.2966, 0.5932, 0.7090)  4 Dy 3.40-3.80, 3 Th 3.52-3.73, 3 Nd 3.55-3.64, 1 La 3.64
Dy (0.5200, 0.0401, 0.2365)  2 La 3.09-3.30
Nd (0.8862, 0.7724, 0.8192)  9 Dy 3.28-3.67
Nd (0.1154, 0.2308, 0.7297)  7 Dy 3.41-3.73, 1 Th 3.48, 2 La 3.73
Nd (0.8846, 0.7692, 0.2297)  7 Dy 3.41-3.73, 1 Th 3.48, 2 La 3.73
Nd (0.1138, 0.2276, 0.3192)  9 Dy 3.28-3.67
La (0.5844, 0.1688, 0.9506)  5 Dy 3.09-3.30
La (0.4156, 0.8312, 0.4506)  5 Dy 3.09-3.30
Th (0.2032, 0.4064, 0.0129)  2 Nd 3.48-3.72, 8 Dy 3.52-3.74, 2 La 3.76
Th (0.7968, 0.5936, 0.5129)  2 Nd 3.48-3.72, 8 Dy 3.52-3.74, 2 La 3.76

Summary:
formation enthalpy at 0 K: 0.16 eV per atom
total magnetization: 0.0 μB per formula unit
SG: No. 36

2.
Entry from the Alexandria database: a relaxed structure of LaNd2Dy4Th (PBE).

abc: 5.1543 5.1405 11.2600
angles: 62.87 90.00 90.00
With the nearest neighbours (Å) after each atom.
Sites, in units of the cell vectors:
Nd (0.0000, 0.0000, 0.0000)  8 Dy 3.64, 4 La 3.64
Nd (0.5000, 0.0000, 0.5000)  8 Dy 3.54-3.55, 4 Th 3.64
La (0.5000, 0.5000, 0.0000)  8 Dy 3.64, 4 Nd 3.64
Dy (0.5000, 0.2572, 0.7430)  4 Nd 3.54-3.64, 2 Th 3.55, 2 La 3.64, 4 Dy 3.64
Dy (0.5000, 0.7428, 0.2570)  4 Nd 3.54-3.64, 2 Th 3.55, 2 La 3.64, 4 Dy 3.64
Dy (0.0000, 0.7566, 0.7431)  2 Th 3.54, 4 Nd 3.55-3.64, 4 Dy 3.64, 2 La 3.64
Dy (0.0000, 0.2434, 0.2569)  2 Th 3.54, 4 Nd 3.55-3.64, 4 Dy 3.64, 2 La 3.64
Th (0.0000, 0.5000, 0.5000)  8 Dy 3.54-3.55, 4 Nd 3.64

Summary:
formation enthalpy at 0 K: 0.03 eV per atom
total magnetization: 0.0 μB per formula unit
SG: No. 47

3.
Entry from the Alexandria database: a relaxed structure of La3NdDy6Th2 (PBE).

abc: 6.2735 6.2735 11.8298
angles: 95.08 95.08 119.99
With the nearest neighbours (Å) after each atom.
Sites, in units of the cell vectors:
Dy (0.0811, 0.4192, 0.2437)  2 Th 3.52, 1 Nd 3.54, 6 Dy 3.60-3.67, 3 La 3.63-3.65
Dy (0.4192, 0.0811, 0.2437)  2 Th 3.52, 1 Nd 3.54, 6 Dy 3.60-3.67, 3 La 3.63-3.65
Dy (0.7432, 0.7432, 0.2438)  2 Th 3.52, 1 Nd 3.54, 6 Dy 3.60-3.67, 3 La 3.63-3.65
Dy (0.9189, 0.5808, 0.7563)  2 Th 3.52, 1 Nd 3.54, 6 Dy 3.60-3.67, 3 La 3.63-3.65
Dy (0.2568, 0.2568, 0.7562)  2 Th 3.52, 1 Nd 3.54, 6 Dy 3.60-3.67, 3 La 3.63-3.65
Dy (0.5808, 0.9189, 0.7563)  2 Th 3.52, 1 Nd 3.54, 6 Dy 3.60-3.67, 3 La 3.63-3.65
La (0.1662, 0.8338, 0.5000)  6 La 3.61-3.63, 6 Dy 3.63-3.65
La (0.8338, 0.1662, 0.5000)  6 La 3.61-3.63, 6 Dy 3.63-3.65
La (0.5000, 0.5000, 0.5000)  6 La 3.62-3.63, 6 Dy 3.63-3.65
Th (0.6666, 0.3334, 0.0000)  6 Dy 3.52, 3 Th 3.62, 3 Nd 3.62
Th (0.3334, 0.6666, 0.0000)  6 Dy 3.52, 3 Th 3.62, 3 Nd 3.62
Nd (0.0000, 0.0000, 0.0000)  6 Dy 3.54, 6 Th 3.62

Summary:
formation enthalpy at 0 K: 0.02 eV per atom
total magnetization: 0.0 μB per formula unit
SG: No. 12

4.
Entry from the Alexandria database: a relaxed structure of La2Nd6Dy3Tl (PBE).

abc: 6.2443 6.2443 12.0178
angles: 94.99 94.99 120.07
With the nearest neighbours (Å) after each atom.
Sites, in units of the cell vectors:
Nd (0.0838, 0.4091, 0.2528)  6 Nd 3.52-3.65, 3 Dy 3.58-3.62, 1 Tl 3.61, 2 La 3.66
Nd (0.9162, 0.5909, 0.7472)  6 Nd 3.52-3.65, 3 Dy 3.58-3.62, 1 Tl 3.61, 2 La 3.66
Nd (0.7588, 0.7588, 0.2535)  6 Nd 3.52-3.65, 3 Dy 3.57-3.61, 1 Tl 3.63, 2 La 3.66
Nd (0.2412, 0.2412, 0.7465)  6 Nd 3.52-3.65, 3 Dy 3.57-3.61, 1 Tl 3.63, 2 La 3.66
Nd (0.4091, 0.0838, 0.2528)  6 Nd 3.52-3.65, 3 Dy 3.58-3.62, 1 Tl 3.61, 2 La 3.66
Nd (0.5909, 0.9162, 0.7472)  6 Nd 3.52-3.65, 3 Dy 3.58-3.62, 1 Tl 3.61, 2 La 3.66
Dy (0.8328, 0.1672, 0.5000)  6 Nd 3.57-3.62, 6 Dy 3.60-3.62
Dy (0.5000, 0.5000, 0.5000)  6 Nd 3.58-3.61, 6 Dy 3.60-3.61
Dy (0.1672, 0.8328, 0.5000)  6 Nd 3.57-3.62, 6 Dy 3.60-3.62
La (0.3336, 0.6664, 0.0000)  3 La 3.60-3.61, 3 Tl 3.60-3.61, 6 Nd 3.66
La (0.6664, 0.3336, 0.0000)  3 La 3.60-3.61, 3 Tl 3.60-3.61, 6 Nd 3.66
Tl (0.0000, 0.0000, 0.0000)  6 La 3.60-3.61, 6 Nd 3.61-3.63

Summary:
formation enthalpy at 0 K: -0.04 eV per atom
total magnetization: 0.0 μB per formula unit
SG: No. 12